La4Nd3HoS8: optimized geometry, PBE.

```
La4Nd3HoS8
1.0
4.090 2.361 6.684
-4.090 2.361 6.684
0.000 -4.723 6.684
La Nd Ho S
4 3 1 8
direct
0.000 0.000 0.000
0.000 0.500 0.500
0.500 0.000 0.500
0.500 0.500 0.000
0.000 0.000 0.500
0.000 0.500 0.000
0.500 0.000 0.000
0.500 0.500 0.500
0.248 0.248 0.248
0.255 0.742 0.742
0.258 0.258 0.745
0.258 0.745 0.258
0.742 0.255 0.742
0.742 0.742 0.255
0.745 0.258 0.258
0.752 0.752 0.752
```

- formation energy (no corrections) (eV/atom) = -2.09
- uncorrected energy (eV/atom) = -6.565
- total magnetic moment (μB/f.u.) = 0.00